(1)
The following is a DFT calculation (PBEsol) of an optimized crystal structure of Mn2Tc.

The polymorph energy (0 for the lowest one) is 0.262 eV per atom. Its raw total energy is -30.26 eV/cell. As for the mass density: 9.81 g/cm³. The calculation puts the energy relative to the elements at 0.178 eV per atom.

It has space group P-3m1 (No. 164), with a = 2.5650 Å, b = 2.5650 Å, c = 6.1779 Å, α = 90.00°, β = 90.00° and γ = 120.00°. Symmetry generates all atoms from Mn at (0.3333, 0.6667, 0.1513) and Tc at (0.0000, 0.0000, 0.5000).

(2)
The following is a DFT calculation (PBEsol) of an optimized crystal structure of Ir2RuSe.

Its raw total energy is -124.49 eV/cell. The calculation puts the formation energy without anion corrections at 0.637 eV per atom. As for the mass density: 15.90 g/cm³.

It has space group F-43m (No. 216), with a = 6.1779 Å, b = 6.1779 Å, c = 6.1779 Å, α = 90.00°, β = 90.00° and γ = 90.00°. Symmetry generates all atoms from Ir at (0.0000, 0.0000, 0.0000), Ir at (0.2500, 0.2500, 0.2500), Ru at (0.2500, 0.2500, 0.7500) and Se at (0.0000, 0.0000, 0.5000).

(3)
The following is a DFT calculation (PBEsol) of an optimized crystal structure of ScMo5.

The polymorph energy (0 for the lowest one) is 0.021 eV per atom. Its raw total energy is -130.33 eV/cell. As for the mass density: 9.18 g/cm³. The calculation puts the energy relative to the elements at 0.047 eV per atom.

It has space group Cmmm (No. 65), with a = 3.1427 Å, b = 13.3680 Å, c = 4.5180 Å, α = 90.00°, β = 90.00° and γ = 90.00°. Symmetry generates all atoms from Sc at (0.0000, 0.0000, 0.0000), Mo at (0.0000, 0.1645, 0.5000), Mo at (0.0000, 0.3259, 0.0000) and Mo at (0.0000, 0.5000, 0.5000).

(4)
The following is a DFT calculation (PBEsol) of an optimized crystal structure of Mg3BMo.

Its raw total energy is -13.55 eV/cell. As for the mass density: 2.19 g/cm³. The calculation puts the energy relative to the elements at 2.077 eV per atom.

It has space group Pm-3m (No. 221), with a = 5.1426 Å, b = 5.1426 Å, c = 5.1426 Å, α = 90.00°, β = 90.00° and γ = 90.00°. Symmetry generates all atoms from Mg at (0.0000, 0.0000, 0.5000), B at (0.5000, 0.5000, 0.5000) and Mo at (0.0000, 0.0000, 0.0000).

> Look up the raw total energy of the fourth one.

-13.55 eV/cell

> mass density of number 2 (Ir2RuSe)?

15.90 g/cm³

> The highest mass density belongs to which entry?

Ir2RuSe